A plane-wave DFT calculation with GGA+U was carried out for crystalline LaMgCrCoO6 at its relaxed geometry.

Unit cell a=5.3507 b=5.2493 c=9.2608 alpha=55.39 beta=90.00 gamma=90.00
Closest atoms and distances in Å follow each position.
Sites, in units of the cell vectors:
La 0.7159 0.2456 0.7500  4 O 2.31-2.49
La 0.2841 0.2456 0.2500  4 O 2.31-2.49
Mg 0.1944 0.7706 0.7536  6 O 2.14-2.30
Mg 0.8056 0.7706 0.2536  6 O 2.14-2.30
Cr 0.7541 0.0051 0.4999  6 O 1.88-2.02
Cr 0.2459 0.0051 0.9999  6 O 1.88-2.02
Co 0.7502 0.5014 0.9997  6 O 1.92-2.01
Co 0.2498 0.5014 0.4997  6 O 1.92-2.01
O 0.2009 0.6740 0.2527  1 Co 1.94, 1 Cr 1.98
O 0.9828 0.8231 0.9465  1 Cr 1.92, 1 Co 1.92
O 0.9828 0.2159 0.5516  1 Cr 1.88, 1 Co 1.92
O 0.4498 0.7511 0.9437  1 Co 1.95, 1 Cr 2.01
O 0.4533 0.1373 0.5540  1 Cr 1.93, 1 Co 2.00
O 0.7326 0.3759 0.2484  1 Co 2.01, 1 Cr 2.02, 1 Mg 2.14
O 0.7991 0.6740 0.7527  1 Co 1.94, 1 Cr 1.98
O 0.0172 0.8231 0.4465  1 Cr 1.92, 1 Co 1.92
O 0.0172 0.2159 0.0516  1 Cr 1.88, 1 Co 1.92
O 0.5502 0.7511 0.4437  1 Co 1.95, 1 Cr 2.01
O 0.5467 0.1373 0.0540  1 Cr 1.93, 1 Co 2.00
O 0.2674 0.3759 0.7484  1 Co 2.01, 1 Cr 2.02, 1 Mg 2.14

Output
VASP energy in eV/atom: -6.94